TaZnSi2 | Alexandria via LeMat-Bulk | PBE | optimized geometry; energy relative to the elements, uncorrected = 0.08 eV/atom; Fermi-level density of states = 2.55 states/eV/f.u.; ρ = 8.31 g/cm³
1.0
3.565 0.000 0.000
0.000 3.808 0.000
0.000 0.000 4.453
Ta Zn Si
1 1 2
Direct
0.000 0.000 0.000
0.000 0.500 0.500
0.500 0.000 0.500
0.500 0.500 0.000